NaTlMo2O8 | PBE+U | relaxed

abc: 6.1711 6.1711 6.1711
angles: 106.76 106.76 115.03
Atoms (fractional coordinates):
Na  0.0000  0.0000  0.0000
Tl  0.7500  0.2500  0.5000
Mo  0.2500  0.7500  0.5000
Mo  0.5000  0.5000  0.0000
O  0.0809  0.3898  0.3089
O  0.0809  0.7720  0.6911
O  0.1430  0.3400  0.8030
O  0.2280  0.9191  0.3089
O  0.5371  0.3400  0.1970
O  0.6102  0.9191  0.6911
O  0.6600  0.4629  0.8030
O  0.6600  0.8570  0.1970

Results
Crystal system = tetragonal
DFT total energy = -0.4529 Ry/atom
SG = I-4m2
Spin magnetization = 0.0 μB per formula unit